CoCu2W at its PBEsol-relaxed geometry. Source: Alexandria, functional meta-GGA SCAN.

a = 4.573 Å, b = 4.573 Å, c = 4.573 Å
α = 134.39°, β = 134.39°, γ = 66.49°
Sites, in units of the cell vectors:
Co: 0.000 0.000 0.000
Cu: 0.250 0.750 0.500
Cu: 0.750 0.250 0.500
W: 0.500 0.500 0.000

Computed properties:
energy relative to the lowest polymorph listed for this composition: 49.5 meV/atom
DFT formation energy: 384 meV per atom


LiCaTc2 at its PBEsol-relaxed geometry. Source: Alexandria, functional meta-GGA SCAN.

a = 3.086 Å, b = 3.086 Å, c = 7.534 Å
α = 90.00°, β = 90.00°, γ = 90.00°
Sites, in units of the cell vectors:
Li: 0.000 0.000 0.000
Ca: 0.500 0.500 0.667
Tc: 0.000 0.000 0.382
Tc: 0.500 0.500 0.215

Computed properties:
energy relative to the lowest polymorph listed for this composition: 0.0 meV/atom
DFT formation energy: 213 meV per atom


In2AsNCl at its PBEsol-relaxed geometry. Source: Alexandria, functional meta-GGA SCAN.

a = 5.551 Å, b = 5.551 Å, c = 3.488 Å
α = 90.00°, β = 90.00°, γ = 90.00°
Sites, in units of the cell vectors:
In: 0.000 0.500 0.000
In: 0.500 0.000 0.000
As: 0.000 0.000 0.500
N: 0.500 0.500 0.500
Cl: 0.500 0.500 0.000

Computed properties:
formation energy from raw total energies: 5.41 eV/f.u.


LiCdTc2 at its PBEsol-relaxed geometry. Source: Alexandria, functional meta-GGA SCAN.

a = 5.333 Å, b = 5.333 Å, c = 2.614 Å
α = 97.41°, β = 97.41°, γ = 123.32°
Sites, in units of the cell vectors:
Li: 0.000 0.000 0.000
Cd: 0.500 0.500 0.000
Tc: 0.000 0.500 0.500
Tc: 0.500 0.000 0.500

Computed properties:
DFT formation energy: 317 meV per atom


AlCoAsH2 at its PBEsol-relaxed geometry. Source: Alexandria, functional meta-GGA SCAN.

a = 3.462 Å, b = 3.462 Å, c = 4.742 Å
α = 90.00°, β = 90.00°, γ = 90.00°
Sites, in units of the cell vectors:
Al: 0.000 0.000 0.000
Co: 0.000 0.000 0.500
As: 0.500 0.500 0.000
H: 0.000 0.500 0.500
H: 0.500 0.000 0.500

Computed properties:
VASP energy: -9.943 eV/atom


Cd2IrAu at its PBEsol-relaxed geometry. Source: Alexandria, functional meta-GGA SCAN.

a = 9.622 Å, b = 9.622 Å, c = 9.622 Å
α = 17.32°, β = 17.32°, γ = 17.32°
Sites, in units of the cell vectors:
Cd: 0.000 0.000 0.000
Cd: 0.242 0.242 0.242
Ir: 0.497 0.497 0.497
Au: 0.751 0.751 0.751

Computed properties:
energy relative to the lowest polymorph listed for this composition: 192.1 meV/atom
DFT formation energy: 195 meV per atom


LaMg2Cu9 at its PBEsol-relaxed geometry. Source: Alexandria, functional meta-GGA SCAN.

a = 4.991 Å, b = 4.991 Å, c = 15.920 Å
α = 90.00°, β = 90.00°, γ = 120.00°
Sites, in units of the cell vectors:
La: 0.333 0.667 0.250
La: 0.667 0.333 0.750
Mg: 0.333 0.667 0.031
Mg: 0.333 0.667 0.469
Mg: 0.667 0.333 0.531
Mg: 0.667 0.333 0.969
Cu: 0.000 0.000 0.000
Cu: 0.000 0.000 0.250
Cu: 0.000 0.000 0.500
Cu: 0.000 0.000 0.750
Cu: 0.168 0.336 0.622
Cu: 0.168 0.336 0.878
Cu: 0.168 0.832 0.622
Cu: 0.168 0.832 0.878
Cu: 0.333 0.667 0.750
Cu: 0.336 0.168 0.122
Cu: 0.336 0.168 0.378
Cu: 0.664 0.832 0.622
Cu: 0.664 0.832 0.878
Cu: 0.667 0.333 0.250
Cu: 0.832 0.168 0.122
Cu: 0.832 0.168 0.378
Cu: 0.832 0.664 0.122
Cu: 0.832 0.664 0.378

Computed properties:
DFT formation energy: -182 meV per atom


SiAu at its PBEsol-relaxed geometry. Source: Alexandria, functional meta-GGA SCAN.

a = 2.896 Å, b = 2.896 Å, c = 7.729 Å
α = 90.00°, β = 90.00°, γ = 100.85°
Sites, in units of the cell vectors:
Si: 0.250 0.750 0.882
Si: 0.750 0.250 0.118
Au: 0.250 0.750 0.357
Au: 0.750 0.250 0.643

Computed properties:
formation energy from raw total energies: 0.61 eV/f.u.


Ta2CdSi at its PBEsol-relaxed geometry. Source: Alexandria, functional meta-GGA SCAN.

a = 5.189 Å, b = 5.189 Å, c = 4.911 Å
α = 102.82°, β = 102.82°, γ = 31.52°
Sites, in units of the cell vectors:
Ta: 0.000 0.000 0.000
Ta: 0.229 0.229 0.682
Cd: 0.473 0.473 0.485
Si: 0.733 0.733 0.175

Computed properties:
formation energy from raw total energies: 0.78 eV/f.u.


CoNi2Br at its PBEsol-relaxed geometry. Source: Alexandria, functional meta-GGA SCAN.

a = 4.151 Å, b = 4.151 Å, c = 4.151 Å
α = 60.00°, β = 60.00°, γ = 60.00°
Sites, in units of the cell vectors:
Co: 0.000 0.000 0.000
Ni: 0.250 0.250 0.250
Ni: 0.750 0.750 0.750
Br: 0.500 0.500 0.500

Computed properties:
energy relative to the lowest polymorph listed for this composition: 38.7 meV/atom
formation energy from raw total energies: 3.35 eV/f.u.


SrAl2Ni at its PBEsol-relaxed geometry. Source: Alexandria, functional meta-GGA SCAN.

a = 4.065 Å, b = 4.065 Å, c = 4.725 Å
α = 90.00°, β = 90.00°, γ = 90.00°
Sites, in units of the cell vectors:
Sr: 0.000 0.000 0.000
Al: 0.000 0.500 0.500
Al: 0.500 0.000 0.500
Ni: 0.500 0.500 0.000

Computed properties:
DFT formation energy: 233 meV per atom


Sr3CaAu at its PBEsol-relaxed geometry. Source: Alexandria, functional meta-GGA SCAN.

a = 6.043 Å, b = 6.043 Å, c = 6.043 Å
α = 90.00°, β = 90.00°, γ = 90.00°
Sites, in units of the cell vectors:
Sr: 0.000 0.000 0.500
Sr: 0.000 0.500 0.000
Sr: 0.500 0.000 0.000
Ca: 0.500 0.500 0.500
Au: 0.000 0.000 0.000

Computed properties:
DFT formation energy: -395 meV per atom


ScC3 at its PBEsol-relaxed geometry. Source: Alexandria, functional meta-GGA SCAN.

a = 4.272 Å, b = 4.272 Å, c = 4.272 Å
α = 90.00°, β = 90.00°, γ = 90.00°
Sites, in units of the cell vectors:
Sc: 0.000 0.000 0.000
C: 0.000 0.000 0.500
C: 0.000 0.500 0.000
C: 0.500 0.000 0.000

Computed properties:
energy relative to the lowest polymorph listed for this composition: 2650.6 meV/atom
DFT formation energy: 3517 meV per atom


Na2BeF4 at its PBEsol-relaxed geometry. Source: Alexandria, functional meta-GGA SCAN.

a = 5.563 Å, b = 7.974 Å, c = 8.859 Å
α = 90.00°, β = 118.43°, γ = 90.00°
Sites, in units of the cell vectors:
Na: 0.086 0.155 0.374
Na: 0.086 0.345 0.874
Na: 0.355 0.014 0.135
Na: 0.355 0.486 0.635
Na: 0.645 0.514 0.365
Na: 0.645 0.986 0.865
Na: 0.914 0.655 0.126
Na: 0.914 0.845 0.626
Be: 0.258 0.697 0.963
Be: 0.258 0.803 0.463
Be: 0.742 0.197 0.537
Be: 0.742 0.303 0.037
F: 0.018 0.681 0.433
F: 0.018 0.819 0.933
F: 0.177 0.608 0.791
F: 0.177 0.892 0.291
F: 0.290 0.566 0.101
F: 0.290 0.934 0.601
F: 0.478 0.194 0.977
F: 0.478 0.306 0.477
F: 0.522 0.694 0.523
F: 0.522 0.806 0.023
F: 0.710 0.066 0.399
F: 0.710 0.434 0.899
F: 0.823 0.108 0.709
F: 0.823 0.392 0.209
F: 0.982 0.181 0.067
F: 0.982 0.319 0.567

Computed properties:
formation energy from raw total energies: -22.49 eV/f.u.


BaAuSe2N at its PBEsol-relaxed geometry. Source: Alexandria, functional meta-GGA SCAN.

a = 5.340 Å, b = 5.340 Å, c = 3.998 Å
α = 90.00°, β = 90.00°, γ = 90.00°
Sites, in units of the cell vectors:
Ba: 0.000 0.000 0.000
Au: 0.500 0.500 0.500
Se: 0.000 0.500 0.500
Se: 0.500 0.000 0.500
N: 0.500 0.500 0.000

Computed properties:
formation energy from raw total energies: -1.25 eV/f.u.


AgSb2 at its PBEsol-relaxed geometry. Source: Alexandria, functional meta-GGA SCAN.

a = 4.118 Å, b = 4.118 Å, c = 5.011 Å
α = 90.00°, β = 90.00°, γ = 120.00°
Sites, in units of the cell vectors:
Ag: 0.000 0.000 0.000
Sb: 0.333 0.667 0.314
Sb: 0.667 0.333 0.686

Computed properties:
formation energy from raw total energies: 0.27 eV/f.u.


NbPtCl3 at its PBEsol-relaxed geometry. Source: Alexandria, functional meta-GGA SCAN.

a = 4.790 Å, b = 4.790 Å, c = 4.790 Å
α = 90.00°, β = 90.00°, γ = 90.00°
Sites, in units of the cell vectors:
Nb: 0.000 0.000 0.000
Pt: 0.500 0.500 0.500
Cl: 0.000 0.500 0.500
Cl: 0.500 0.000 0.500
Cl: 0.500 0.500 0.000

Computed properties:
formation energy from raw total energies: 1.84 eV/f.u.


IrPbAu at its PBEsol-relaxed geometry. Source: Alexandria, functional meta-GGA SCAN.

a = 3.086 Å, b = 3.086 Å, c = 6.833 Å
α = 90.00°, β = 90.00°, γ = 120.00°
Sites, in units of the cell vectors:
Ir: 0.000 0.000 0.000
Pb: 0.333 0.667 0.679
Au: 0.667 0.333 0.313

Computed properties:
energy relative to the lowest polymorph listed for this composition: 73.4 meV/atom
DFT formation energy: 656 meV per atom


SrNiP2 at its PBEsol-relaxed geometry. Source: Alexandria, functional meta-GGA SCAN.

a = 5.201 Å, b = 5.201 Å, c = 5.201 Å
α = 134.77°, β = 134.77°, γ = 65.88°
Sites, in units of the cell vectors:
Sr: 0.000 0.000 0.000
Ni: 0.750 0.250 0.500
P: 0.250 0.750 0.500
P: 0.500 0.500 0.000

Computed properties:
DFT formation energy: 212 meV per atom


ZrRh2 at its PBEsol-relaxed geometry. Source: Alexandria, functional meta-GGA SCAN.

a = 4.814 Å, b = 4.814 Å, c = 5.499 Å
α = 102.81°, β = 102.81°, γ = 49.43°
Sites, in units of the cell vectors:
Zr: 0.143 0.143 0.304
Zr: 0.857 0.857 0.696
Rh: 0.177 0.177 0.824
Rh: 0.500 0.500 0.000
Rh: 0.500 0.500 0.500
Rh: 0.823 0.823 0.176

Computed properties:
DFT formation energy: -829 meV per atom


BaZn2Co2 at its PBEsol-relaxed geometry. Source: Alexandria, functional meta-GGA SCAN.

a = 5.796 Å, b = 5.796 Å, c = 5.796 Å
α = 137.02°, β = 137.02°, γ = 62.41°
Sites, in units of the cell vectors:
Ba: 0.000 0.000 0.000
Zn: 0.250 0.750 0.500
Zn: 0.750 0.250 0.500
Co: 0.387 0.387 0.000
Co: 0.613 0.613 0.000

Computed properties:
DFT formation energy: 319 meV per atom


Al2CdSi at its PBEsol-relaxed geometry. Source: Alexandria, functional meta-GGA SCAN.

a = 2.852 Å, b = 2.852 Å, c = 10.172 Å
α = 102.04°, β = 102.04°, γ = 60.08°
Sites, in units of the cell vectors:
Al: 0.000 0.000 0.000
Al: 0.223 0.223 0.766
Cd: 0.411 0.411 0.496
Si: 0.774 0.774 0.220

Computed properties:
energy relative to the lowest polymorph listed for this composition: 0.0 meV/atom
formation energy from raw total energies: 1.00 eV/f.u.


BaRe2OsSe at its PBEsol-relaxed geometry. Source: Alexandria, functional meta-GGA SCAN.

a = 4.691 Å, b = 4.691 Å, c = 6.262 Å
α = 90.00°, β = 90.00°, γ = 90.00°
Sites, in units of the cell vectors:
Ba: 0.000 0.000 0.000
Re: 0.000 0.500 0.500
Re: 0.500 0.000 0.500
Os: 0.000 0.000 0.500
Se: 0.500 0.500 0.000

Computed properties:
formation energy from raw total energies: 6.58 eV/f.u.


BaMn2Pt at its PBEsol-relaxed geometry. Source: Alexandria, functional meta-GGA SCAN.

a = 5.347 Å, b = 5.347 Å, c = 5.347 Å
α = 133.16°, β = 133.16°, γ = 68.40°
Sites, in units of the cell vectors:
Ba: 0.000 0.000 0.000
Mn: 0.250 0.750 0.500
Mn: 0.500 0.500 0.000
Pt: 0.750 0.250 0.500

Computed properties:
DFT formation energy: 227 meV per atom


AsIr2Rh at its PBEsol-relaxed geometry. Source: Alexandria, functional meta-GGA SCAN.

a = 8.557 Å, b = 8.557 Å, c = 8.557 Å
α = 18.83°, β = 18.83°, γ = 18.83°
Sites, in units of the cell vectors:
As: 0.000 0.000 0.000
Ir: 0.253 0.253 0.253
Ir: 0.747 0.747 0.747
Rh: 0.500 0.500 0.500

Computed properties:
DFT formation energy: 153 meV per atom